Here is crystalline PrMn2B2O7 at its relaxed geometry from Alexandria. Energies are from PBE with a Hubbard U.

The energy comes out at -285.15 eV for the cell shown.

It has space group R32 (No. 155, hexagonal axes), with a = 5.0381 Å, b = 5.0381 Å, c = 26.4590 Å, α = 90.00°, β = 90.00° and γ = 120.00°. The inequivalent atoms are Pr at (0.0000, 0.0000, 0.0000), Mn at (0.0000, 0.0000, 0.4291), B at (0.0000, 0.0000, 0.2747), O at (0.0000, 0.0000, 0.5000) and O at (0.0148, 0.2821, 0.2761).